Sm5Pa2Te12: relaxed, GGA-PBE.

As for the space-group type: C2/m (12). Its formation energy from raw total energies is -1144 meV/atom. Its density is 6552 kg/m3. The total energy comes out at -0.3947 Ry/atom. Its density of states at the Fermi level is 2.60 states/eV/f.u.

Lattice parameters (Å, degrees): 8.2511 9.6891 10.0503 105.22 90.00 115.20
Last column: nearest neighbours and their distance in Å.
Atoms (fractional coordinates):
Te 0.4389 0.3541 0.0959  1 Pa 2.97, 2 Sm 3.18-3.25
Te 0.5038 0.0076 0.2392  2 Pa 3.06, 2 Sm 3.17-3.41
Te 0.8961 0.2944 0.5636  4 Sm 3.21-3.25
Te 0.1039 0.7056 0.4364  4 Sm 3.21-3.25
Sm 0.0000 0.0000 0.5000  6 Te 3.03-3.23
Pa 0.7314 0.0000 0.0000  6 Te 2.97-3.06
Te 0.9916 0.9831 0.1948  2 Pa 2.99, 1 Sm 3.03
Te 0.3984 0.2944 0.5636  4 Sm 3.21-3.25
Te 0.6016 0.7056 0.4364  4 Sm 3.21-3.25
Te 0.5611 0.6459 0.9041  1 Pa 2.97, 2 Sm 3.18-3.25
Te 0.0847 0.6459 0.9041  1 Pa 2.97, 2 Sm 3.18-3.25
Sm 0.3160 0.6321 0.1758  7 Te 3.17-3.39
Sm 0.7069 0.4137 0.3637  7 Te 3.21-3.41
Sm 0.6840 0.3679 0.8242  7 Te 3.17-3.39
Te 0.9153 0.3541 0.0959  1 Pa 2.97, 2 Sm 3.18-3.25
Pa 0.2686 0.0000 0.0000  6 Te 2.97-3.06
Te 0.4962 0.9924 0.7608  2 Pa 3.06, 2 Sm 3.17-3.41
Te 0.0084 0.0169 0.8052  2 Pa 2.99, 1 Sm 3.03
Sm 0.2931 0.5863 0.6363  7 Te 3.21-3.41